# GdLuGe PBE-GGA optimized geometry
# DFT formation energy = -0.52 eV/atom
# Space-group type = No. 216
# V = 80.6 Å³ per cell
# Calculated total energy = -8.256 eV per atom
data_GdLuGe
_cell_length_a 4.849
_cell_length_b 4.849
_cell_length_c 4.849
_cell_angle_alpha 60.00
_cell_angle_beta 60.00
_cell_angle_gamma 60.00
_symmetry_space_group_name_H-M 'P 1'
_symmetry_Int_Tables_number 1
loop_
_symmetry_equiv_pos_as_xyz
'x,y,z'
loop_
_atom_site_label
_atom_site_fract_x
_atom_site_fract_y
_atom_site_fract_z
Gd1 0.500 0.500 0.500
Ge1 0.250 0.250 0.250
Lu1 0.000 0.000 0.000